## one
First-principles (GGA-PBE) data for a relaxed structure of BaTlCr3, as listed in Alexandria via LeMat-Bulk.

## Properties
theoretical density: 5.53 g cm⁻³
total magnetic moment: 11.7 μB per cell

Cell: 5.3055 5.3055 5.3055 Å, 90.00 90.00 90.00°
Closest atoms and distances in Å follow each position.
Atoms (fractional coordinates):
Cr  0.0000  0.0000  0.5000  2 Ba 2.65
Cr  0.0000  0.5000  0.0000  2 Ba 2.65
Cr  0.5000  0.0000  0.0000  2 Ba 2.65
Tl  0.5000  0.5000  0.5000  12 Cr 3.75
Ba  0.0000  0.0000  0.0000  6 Cr 2.65

=====

## two
First-principles (GGA-PBE) data for a relaxed structure of BaTlCr3, as listed in Alexandria via LeMat-Bulk.

## Properties
theoretical density: 5.28 g cm⁻³
total magnetic moment: 14.2 μB per cell

Cell: 5.3903 5.3903 5.3903 Å, 90.00 90.00 90.00°
Closest atoms and distances in Å follow each position.
Atoms (fractional coordinates):
Cr  0.0000  0.0000  0.5000  2 Tl 2.70
Cr  0.5000  0.0000  0.0000  2 Tl 2.70
Cr  0.0000  0.5000  0.0000  2 Tl 2.70
Ba  0.5000  0.5000  0.5000  12 Cr 3.81
Tl  0.0000  0.0000  0.0000  6 Cr 2.70

=====

Preferred: two; penalty for the next structure: 1057 meV per atom.

=====

## one
First-principles (GGA-PBE) data for a relaxed structure of BaV3Cr, as listed in Alexandria via LeMat-Bulk.

## Properties
theoretical density: 5.21 g cm⁻³
total magnetic moment: 4.6 μB per cell

Cell: 4.7762 4.7762 4.7762 Å, 90.00 90.00 90.00°
Closest atoms and distances in Å follow each position.
Atoms (fractional coordinates):
V  0.0000  0.0000  0.5000  2 Ba 2.39
V  0.0000  0.5000  0.0000  2 Ba 2.39
V  0.5000  0.0000  0.0000  2 Ba 2.39
Cr  0.5000  0.5000  0.5000  12 V 3.38
Ba  0.0000  0.0000  0.0000  6 V 2.39

=====

## two
First-principles (GGA-PBE) data for a relaxed structure of BaV3Cr, as listed in Alexandria via LeMat-Bulk.

## Properties
theoretical density: 5.29 g cm⁻³
total magnetic moment: 5.5 μB per cell

Cell: 4.7542 4.7542 4.7542 Å, 90.00 90.00 90.00°
Closest atoms and distances in Å follow each position.
Atoms (fractional coordinates):
V  0.5000  0.0000  0.0000  2 Cr 2.38
V  0.0000  0.0000  0.5000  2 Cr 2.38
V  0.0000  0.5000  0.0000  2 Cr 2.38
Cr  0.0000  0.0000  0.0000  6 V 2.38
Ba  0.5000  0.5000  0.5000  12 V 3.36

=====

Preferred: two; penalty for the next structure: 1568 meV per atom.

=====

## one
First-principles (GGA-PBE) data for a relaxed structure of Ba2CrW, as listed in Alexandria via LeMat-Bulk.

## Properties
theoretical density: 6.10 g cm⁻³
total magnetic moment: 0.0 μB per cell

Cell: 4.1146 4.1146 9.7343 Å, 78.49 78.49 60.01°
Closest atoms and distances in Å follow each position.
Atoms (fractional coordinates):
Ba  0.9605  0.9605  0.1052  3 W 3.49, 3 Cr 3.49
Ba  0.7897  0.7897  0.6447  3 Cr 3.49, 3 W 3.49
W  0.2083  0.2083  0.3749  3 Cr 2.38
Cr  0.5416  0.5416  0.3751  3 W 2.38

=====

## two
First-principles (GGA-PBE) data for a relaxed structure of Ba2CrW, as listed in Alexandria via LeMat-Bulk.

## Properties
theoretical density: 7.15 g cm⁻³
total magnetic moment: 1.1 μB per cell

Cell: 3.5051 3.3972 11.1774 Å, 62.93 90.00 90.00°
Closest atoms and distances in Å follow each position.
Atoms (fractional coordinates):
Cr  0.0000  0.4332  0.5869  4 W 2.55
W  0.5000  0.8228  0.6605  4 Cr 2.55
Ba  0.5000  0.3219  0.3253  1 W 3.34, 4 Ba 3.40-3.51, 4 Cr 3.56-3.57
Ba  0.0000  0.9221  0.9272  1 Cr 3.39, 4 Ba 3.40-3.51, 4 W 3.60-3.61

=====

## three
First-principles (GGA-PBE) data for a relaxed structure of Ba2CrW, as listed in Alexandria via LeMat-Bulk.

## Properties
theoretical density: 6.98 g cm⁻³
total magnetic moment: 3.2 μB per cell

Cell: 4.8117 3.3409 8.2556 Å, 66.27 90.00 90.00°
Closest atoms and distances in Å follow each position.
Atoms (fractional coordinates):
W  0.5000  0.7500  0.7500  2 W 3.34, 8 Ba 3.45
Ba  0.0000  0.4904  0.5095  3 Ba 3.34-3.64, 4 W 3.45, 4 Cr 3.52-3.53
Ba  0.0000  0.0096  0.9905  3 Ba 3.34-3.64, 4 W 3.45, 4 Cr 3.52-3.53
Cr  0.5000  0.2500  0.2500  2 Cr 3.34, 8 Ba 3.52-3.53

=====

Preferred: one; penalty for the next structure: 45 meV per atom.

=====

## one
First-principles (GGA-PBE) data for a relaxed structure of Ba2CrW, as listed in Alexandria via LeMat-Bulk.

## Properties
theoretical density: 7.22 g cm⁻³
total magnetic moment: 4.9 μB per cell

Cell: 3.3004 3.3004 10.7783 Å, 90.00 90.00 89.79°
Closest atoms and distances in Å follow each position.
Atoms (fractional coordinates):
Cr  0.5000  0.5000  0.2500  4 Cr 3.30, 8 Ba 3.67-3.68
Ba  0.0000  0.0000  0.9863  4 Ba 3.30, 4 W 3.45-3.46, 4 Cr 3.67-3.68
Ba  0.0000  0.0000  0.5137  4 Ba 3.30, 4 W 3.45-3.46, 4 Cr 3.67-3.68
W  0.5000  0.5000  0.7500  4 W 3.30, 8 Ba 3.45-3.46

=====

## two
First-principles (GGA-PBE) data for a relaxed structure of Ba2CrW, as listed in Alexandria via LeMat-Bulk.

## Properties
theoretical density: 7.14 g cm⁻³
total magnetic moment: 1.2 μB per cell

Cell: 5.5187 5.5187 5.5187 Å, 120.07 120.07 89.88°
Closest atoms and distances in Å follow each position.
Atoms (fractional coordinates):
W  0.7500  0.2500  0.5000  4 Ba 3.38, 4 Cr 3.38
Ba  0.0000  0.0000  0.0000  4 Ba 3.38, 4 W 3.38
Ba  0.2500  0.7500  0.5000  4 Ba 3.38, 4 Cr 3.38
Cr  0.5000  0.5000  0.0000  4 W 3.38, 4 Ba 3.38

=====

## three
First-principles (GGA-PBE) data for a relaxed structure of Ba2CrW, as listed in Alexandria via LeMat-Bulk.

## Properties
theoretical density: 7.36 g cm⁻³
total magnetic moment: 2.5 μB per cell

Cell: 5.4601 5.4601 5.4601 Å, 60.00 60.00 60.00°
Closest atoms and distances in Å follow each position.
Atoms (fractional coordinates):
Ba  0.7500  0.7500  0.7500  4 Cr 3.34, 4 W 3.34
Ba  0.2500  0.2500  0.2500  4 Cr 3.34, 4 W 3.34
Cr  0.0000  0.0000  0.0000  8 Ba 3.34
W  0.5000  0.5000  0.5000  8 Ba 3.34

=====

Preferred: two; penalty for the next structure: 64 meV per atom.

=====

## one
First-principles (GGA-PBE) data for a relaxed structure of Ba2CrW, as listed in Alexandria via LeMat-Bulk.

## Properties
theoretical density: 6.69 g cm⁻³
total magnetic moment: 1.2 μB per cell

Cell: 10.0616 10.0616 10.0616 Å, 159.78 158.90 29.39°
Closest atoms and distances in Å follow each position.
Atoms (fractional coordinates):
Cr  0.2500  0.7500  0.5000  4 W 2.55
W  0.7500  0.2500  0.5000  4 Cr 2.55
Ba  0.3980  0.3980  0.0000  2 Cr 3.38, 2 W 3.42, 4 Ba 3.53-3.68
Ba  0.1020  0.1020  0.0000  2 Cr 3.38, 2 W 3.42, 4 Ba 3.53-3.68

=====

## two
First-principles (GGA-PBE) data for a relaxed structure of Ba2CrW, as listed in Alexandria via LeMat-Bulk.

## Properties
theoretical density: 4.82 g cm⁻³
total magnetic moment: 1.5 μB per cell

Cell: 12.4193 12.4193 9.0732 Å, 46.81 46.81 90.00°
Closest atoms and distances in Å follow each position.
Atoms (fractional coordinates):
Ba  0.8750  0.6933  0.7500  2 Cr 3.27, 2 W 3.64
Ba  0.3067  0.6250  0.2500  2 Cr 3.27, 2 W 3.64
Ba  0.4433  0.1250  0.2500  2 Cr 3.27, 2 W 3.64
Ba  0.3750  0.5567  0.7500  2 Cr 3.27, 2 W 3.64
W  0.0000  0.0000  0.0000  2 Cr 2.28
W  0.7500  0.2500  0.5000  2 Cr 2.28
Cr  0.2500  0.7500  0.5000  2 W 2.28
Cr  0.5000  0.5000  0.0000  2 W 2.28

=====

Preferred: one; penalty for the next structure: 310 meV per atom.

=====

## one
First-principles (GGA-PBE) data for a relaxed structure of BaCr2W, as listed in Alexandria via LeMat-Bulk.

## Properties
theoretical density: 7.32 g cm⁻³
total magnetic moment: 5.6 μB per cell

Cell: 6.0796 6.0796 6.0796 Å, 149.41 121.35 67.60°
Closest atoms and distances in Å follow each position.
Atoms (fractional coordinates):
Cr  0.5593  0.5593  0.0000  2 W 2.51
Cr  0.9407  0.9407  0.0000  2 W 2.51
Ba  0.2500  0.7500  0.5000  2 Ba 3.21, 4 W 3.38, 8 Cr 3.51-3.55
W  0.7500  0.2500  0.5000  4 Cr 2.51

=====

## two
First-principles (GGA-PBE) data for a relaxed structure of BaCr2W, as listed in Alexandria via LeMat-Bulk.

## Properties
theoretical density: 8.60 g cm⁻³
total magnetic moment: 6.4 μB per cell

Cell: 3.0248 5.2098 5.2098 Å, 90.00 90.00 90.00°
Closest atoms and distances in Å follow each position.
Atoms (fractional coordinates):
Cr  0.0000  0.5000  0.5000  4 Ba 3.01, 4 W 3.01, 2 Cr 3.02
Cr  0.0000  0.0000  0.0000  4 Ba 3.01, 4 W 3.01, 2 Cr 3.02
Ba  0.5000  0.0000  0.5000  8 Cr 3.01, 2 Ba 3.02
W  0.5000  0.5000  0.0000  8 Cr 3.01, 2 W 3.02

=====

## three
First-principles (GGA-PBE) data for a relaxed structure of BaCr2W, as listed in Alexandria via LeMat-Bulk.

## Properties
theoretical density: 6.12 g cm⁻³
total magnetic moment: 9.8 μB per cell

Cell: 5.3545 5.3545 8.8895 Å, 72.47 72.47 90.00°
Closest atoms and distances in Å follow each position.
Atoms (fractional coordinates):
Cr  0.3750  0.1250  0.7500  2 W 2.42, 2 Cr 2.68
Cr  0.8750  0.1250  0.7500  2 W 2.42, 2 Cr 2.68
Cr  0.8750  0.1250  0.2500  2 W 2.42, 2 Cr 2.68
Cr  0.8750  0.6250  0.2500  2 W 2.42, 2 Cr 2.68
W  0.7500  0.2500  0.5000  4 Cr 2.42
W  0.0000  0.0000  0.0000  4 Cr 2.42
Ba  0.5000  0.5000  0.0000  8 Cr 3.61, 4 W 3.79
Ba  0.2500  0.7500  0.5000  8 Cr 3.61, 4 W 3.79

=====

Preferred: one; penalty for the next structure: 24 meV per atom.